(1)
Computed, not measured: an optimized crystal structure of Te2Ir at the PBE-GGA level of DFT.

POSCAR file:
```
Te2Ir
1.0
0.0000 3.3151 3.3151
3.3151 0.0000 3.3151
3.3151 3.3151 0.0000
Te Ir
2 1
Direct
0.2500 0.2500 0.2500 Te
0.7500 0.7500 0.7500 Te
0.0000 0.0000 0.0000 Ir
```

Results
Space group   Fm-3m, No. 225

(2)
Computed, not measured: an optimized crystal structure of TeIr5 at the PBE-GGA level of DFT.

POSCAR file:
```
TeIr5
1.0
4.9529 0.0000 0.0000
-2.4764 4.2893 0.0000
0.0000 0.0000 4.5215
Te Ir
1 5
Direct
0.0000 0.0000 0.0000 Te
0.0000 0.6241 0.5000 Ir
0.3333 0.6667 0.0000 Ir
0.3759 0.3759 0.5000 Ir
0.6241 0.0000 0.5000 Ir
0.6667 0.3333 0.0000 Ir
```

Results
Distance to the lowest polymorph of the same formula   0.0 kJ/mol of atoms
Space group   P-62m, No. 189

(3)
Computed, not measured: an optimized crystal structure of Te4Ir3 at the PBE-GGA level of DFT.

POSCAR file:
```
Te4Ir3
1.0
5.4053 0.0000 0.0000
-2.7027 4.6812 0.0000
0.0000 0.0000 5.9330
Te Ir
4 3
Direct
0.0000 0.0000 0.2296 Te
0.0000 0.0000 0.7704 Te
0.3333 0.6667 0.5000 Te
0.6667 0.3333 0.5000 Te
0.0000 0.5000 0.0000 Ir
0.5000 0.0000 0.0000 Ir
0.5000 0.5000 0.0000 Ir
```

Results
Space group   P6/mmm, No. 191

(4)
Computed, not measured: an optimized crystal structure of TeIr3 at the PBE-GGA level of DFT.

POSCAR file:
```
TeIr3
1.0
5.1494 0.0000 0.0000
0.0000 5.1494 0.0000
0.0000 0.0000 5.1494
Te Ir
2 6
Direct
0.0000 0.0000 0.0000 Te
0.5000 0.5000 0.5000 Te
0.0000 0.2500 0.5000 Ir
0.0000 0.7500 0.5000 Ir
0.2500 0.5000 0.0000 Ir
0.5000 0.0000 0.2500 Ir
0.5000 0.0000 0.7500 Ir
0.7500 0.5000 0.0000 Ir
```

Results
Space group   Pm-3n, No. 223

(5)
Computed, not measured: an optimized crystal structure of Te2Ir at the PBE-GGA level of DFT.

POSCAR file:
```
Te2Ir
1.0
3.1617 0.0000 0.0000
0.0000 3.6904 0.0000
-0.0628 0.0000 7.3949
Te Ir
2 1
Direct
0.0000 0.0000 0.0000 Te
0.4892 0.5000 0.4812 Te
0.4944 0.0000 0.7215 Ir
```

Results
Space group   Pm, No. 6

(6)
Computed, not measured: an optimized crystal structure of Te2Ir at the PBE-GGA level of DFT.

POSCAR file:
```
Te2Ir
1.0
6.9805 -1.8734 0.0000
6.9805 1.8734 0.0000
-1.4834 0.0000 6.3461
Te Ir
4 2
Direct
0.0000 0.0000 0.0000 Te
0.5436 0.5436 0.5270 Te
0.7306 0.7306 0.9067 Te
0.7932 0.7932 0.4546 Te
0.1861 0.1861 0.5932 Ir
0.6163 0.6163 0.1887 Ir
```

Results
Space group   Cm, No. 8

no.,density (g/cm3),total DFT energy (no corrections) (eV/cell),uncorrected formation energy (kJ/mol of atoms)
1,10.2,-15.00,4.8
2,18.8,-45.59,29.8
3,12.0,-33.63,76.1
4,17.1,-52.00,89.8
5,8.6,-14.66,15.6
6,9.0,-30.63,-5.5